1.
The following is a DFT calculation (PBE-GGA) of a relaxed CdNi2Os crystal.

The structure in extended XYZ format:
```
8
Lattice="-0.900 1.700 -3.390 -3.735 0.210 1.096 -0.892 8.509 2.262" Properties=species:S:1:pos:R:3 pbc="T T T"
Ni -1.299 3.303 -1.592
Ni -2.623 2.383 1.002
Ni -2.214 7.087 0.779
Ni -4.917 8.063 -0.254
Os 0.000 0.000 0.000
Os -2.054 5.582 -1.138
Cd -2.317 0.955 -1.147
Cd -3.472 4.837 1.106
```

Values from the calculation:
E_form, eV/f.u.: 3.41

---

2.
The following is a DFT calculation (PBE-GGA) of a relaxed Cd2NiOs crystal.

The structure in extended XYZ format:
```
4
Lattice="-0.100 1.841 -2.094 1.904 -2.031 -0.194 -6.381 -5.544 -4.570" Properties=species:S:1:pos:R:3 pbc="T T T"
Cd -6.275 -5.452 -4.495
Cd -0.882 -1.644 -2.421
Ni -3.288 -2.857 -2.355
Os -3.704 -4.097 -4.443
```

Values from the calculation:
ΔE to the lowest computed polymorph, eV per formula unit: 0.535
E_form, eV/f.u.: 1.70

---

3.
The following is a DFT calculation (PBE-GGA) of a relaxed CdNiOsPt2 crystal.

The structure in extended XYZ format:
```
5
Lattice="-4.157 0.858 -2.387 -0.295 -4.365 -1.056 -2.516 -0.819 4.088" Properties=species:S:1:pos:R:3 pbc="T T T"
Ni -0.147 -2.183 -0.528
Os 0.000 0.000 0.000
Pt -1.258 -0.409 2.044
Pt -2.079 0.429 -1.193
Cd -3.484 -2.163 0.323
```

Values from the calculation:
E_form, eV/f.u.: 5.38

---

4.
The following is a DFT calculation (PBE-GGA) of a relaxed Rb2CdNiOs crystal.

The structure in extended XYZ format:
```
5
Lattice="6.481 0.000 0.000 0.000 4.507 0.000 0.000 0.000 6.481" Properties=species:S:1:pos:R:3 pbc="T T T"
Ni 0.000 0.000 0.000
Os 0.000 2.253 0.000
Rb 0.000 0.000 3.241
Rb 3.241 0.000 0.000
Cd 3.241 2.253 3.241
```

Values from the calculation:
E_form, eV/f.u.: 5.36

---

5.
The following is a DFT calculation (PBE-GGA) of a relaxed RbCdNiOs2 crystal.

The structure in extended XYZ format:
```
5
Lattice="-0.894 -4.705 -0.391 1.655 0.113 -5.150 4.487 -0.970 1.421" Properties=species:S:1:pos:R:3 pbc="T T T"
Ni 2.624 -2.781 -2.060
Os 2.243 -0.485 0.710
Os -0.447 -2.353 -0.195
Rb 0.000 0.000 0.000
Cd 0.827 0.057 -2.575
```

Values from the calculation:
E_form, eV/f.u.: 17.86

---

6.
The following is a DFT calculation (PBE-GGA) of a relaxed Cd2NiSbOs crystal.

The structure in extended XYZ format:
```
5
Lattice="-0.544 1.070 4.667 -4.156 -2.026 -0.020 2.040 -4.198 1.200" Properties=species:S:1:pos:R:3 pbc="T T T"
Ni 0.000 0.000 0.000
Sb -2.078 -1.013 -0.010
Os -1.330 -2.577 2.924
Cd 1.020 -2.099 0.600
Cd -0.272 0.535 2.334
```

Values from the calculation:
Raw formation energy, eV/atom: 1.05

---

7.
The following is a DFT calculation (PBE-GGA) of a relaxed Cd2SiNiOs crystal.

The structure in extended XYZ format:
```
5
Lattice="-0.848 1.358 -4.931 -4.399 -0.651 0.577 -0.542 4.946 1.456" Properties=species:S:1:pos:R:3 pbc="T T T"
Ni -2.199 -0.326 0.288
Si -2.894 2.827 -1.449
Os 0.000 0.000 0.000
Cd -0.271 2.473 0.728
Cd -0.424 0.679 -2.465
```

Values from the calculation:
Raw formation energy, eV/atom: 1.31

---

8.
The following is a DFT calculation (PBE-GGA) of a relaxed CdNi2P crystal.

The structure in extended XYZ format:
```
4
Lattice="-3.888 -1.613 2.988 -0.510 -2.172 4.655 -2.032 1.318 4.558" Properties=species:S:1:pos:R:3 pbc="T T T"
Cd -3.215 -1.233 6.101
Ni -1.884 -0.723 3.574
Ni -4.546 -1.744 8.627
P 0.000 0.000 0.000
```

Values from the calculation:
E_form, eV/f.u.: -0.73

---

Going through the records in order, we get density of states at the Fermi level values of 1.284 0.811 1.340 1.097 1.428 1.154 0.856 0.475 states/eV per atom.
Going through the records in order, we get final energy values of -20.30 -17.14 -24.63 -14.50 -12.26 -17.70 -17.70 -18.61 eV/f.u..